(1)
# Na2Sr2Au15

A relaxed structure of Na2Sr2Au15 (PBE, Alexandria via LeMat-Bulk).

Values from the calculation:
- symmetry = No. 166
- energy of formation from the pure elements (eV per atom) = -0.376

The structure in POSCAR format:
```
Na2Sr2Au15
1.0
4.8685 2.8109 4.8288
-4.8685 2.8109 4.8288
0.0000 -5.6217 4.8288
Na Sr Au
2 2 15
direct
0.0959 0.0959 0.0959
0.9041 0.9041 0.9041
0.3473 0.3473 0.3473
0.6527 0.6527 0.6527
0.0000 0.0000 0.5000
0.0000 0.3060 0.6940
0.0000 0.5000 0.0000
0.0000 0.6940 0.3060
0.1588 0.6498 0.6498
0.3060 0.0000 0.6940
0.3060 0.6940 0.0000
0.3502 0.3502 0.8412
0.3502 0.8412 0.3502
0.5000 0.0000 0.0000
0.6498 0.1588 0.6498
0.6498 0.6498 0.1588
0.6940 0.0000 0.3060
0.6940 0.3060 0.0000
0.8412 0.3502 0.3502
```

=====

(2)
# LaScMo

A relaxed structure of LaScMo (PBE, Alexandria via LeMat-Bulk).

Values from the calculation:
- symmetry = No. 156
- offset from the most stable computed form (eV per atom) = 0.023
- energy of formation from the pure elements (eV per atom) = 0.339

The structure in POSCAR format:
```
LaScMo
1.0
4.8631 0.0000 0.0000
-2.4315 4.2115 0.0000
0.0000 0.0000 3.2954
La Sc Mo
1 1 1
direct
0.0000 0.0000 0.0000
0.3333 0.6667 0.4975
0.6667 0.3333 0.0792
```

=====

(3)
# AlFeBr2

A relaxed structure of AlFeBr2 (PBE, Alexandria via LeMat-Bulk).

Values from the calculation:
- symmetry = No. 35
- offset from the most stable computed form (eV per atom) = 0.203
- ΔE_f (raw) (eV per atom) = -0.0726

The structure in POSCAR format:
```
AlFeBr2
1.0
3.3151 0.0000 0.0000
0.0000 6.3773 0.0000
0.0000 0.0000 9.6210
Al Fe Br
2 2 4
direct
0.0000 0.0000 0.0000
0.5000 0.5000 0.0000
0.0000 0.5000 0.7996
0.5000 0.0000 0.7996
0.0000 0.0000 0.6132
0.0000 0.5000 0.1992
0.5000 0.0000 0.1992
0.5000 0.5000 0.6132
```

=====

(4)
# BeAl4Co3

A relaxed structure of BeAl4Co3 (PBE, Alexandria via LeMat-Bulk).

Values from the calculation:
- symmetry = No. 123
- energy of formation from the pure elements (eV per atom) = -0.427

The structure in POSCAR format:
```
BeAl4Co3
1.0
2.8895 0.0000 0.0000
0.0000 2.8895 0.0000
0.0000 0.0000 11.1776
Be Al Co
1 4 3
direct
0.0000 0.0000 0.0000
0.5000 0.5000 0.1255
0.5000 0.5000 0.3737
0.5000 0.5000 0.6263
0.5000 0.5000 0.8745
0.0000 0.0000 0.2436
0.0000 0.0000 0.5000
0.0000 0.0000 0.7564
```

=====

(5)
# CrRe2Si

A relaxed structure of CrRe2Si (PBE, Alexandria via LeMat-Bulk).

Values from the calculation:
- symmetry = No. 44
- ΔE_f (raw) (eV per atom) = -0.1540

The structure in POSCAR format:
```
CrRe2Si
1.0
3.0120 0.0000 0.0000
0.0000 4.1072 0.0000
0.0000 0.0000 8.5947
Cr Re Si
2 4 2
direct
0.0000 0.0000 0.0000
0.5000 0.5000 0.5000
0.0000 0.0000 0.4833
0.0000 0.5000 0.2440
0.5000 0.0000 0.7440
0.5000 0.5000 0.9833
0.0000 0.5000 0.7348
0.5000 0.0000 0.2348
```

=====

(6)
# In3Se4

A relaxed structure of In3Se4 (PBE, Alexandria via LeMat-Bulk).

Values from the calculation:
- symmetry = No. 215
- ΔE_f (raw) (eV per atom) = -0.4712

The structure in POSCAR format:
```
In3Se4
1.0
6.0816 0.0000 0.0000
0.0000 6.0816 0.0000
0.0000 0.0000 6.0816
In Se
3 4
direct
0.0000 0.0000 0.5000
0.0000 0.5000 0.0000
0.5000 0.0000 0.0000
0.2660 0.2660 0.2660
0.2660 0.7340 0.7340
0.7340 0.2660 0.7340
0.7340 0.7340 0.2660
```

=====

(7)
# TbNiPN

A relaxed structure of TbNiPN (PBE, Alexandria via LeMat-Bulk).

Values from the calculation:
- symmetry = No. 129
- ΔE_f (raw) (eV per atom) = -1.1473

The structure in POSCAR format:
```
TbNiPN
1.0
3.6834 0.0000 0.0000
0.0000 3.6834 0.0000
0.0000 0.0000 7.8986
Tb Ni P N
2 2 2 2
direct
0.2500 0.2500 0.1664
0.7500 0.7500 0.8336
0.2500 0.7500 0.5000
0.7500 0.2500 0.5000
0.2500 0.2500 0.6554
0.7500 0.7500 0.3446
0.2500 0.2500 0.8719
0.7500 0.7500 0.1281
```

=====

(8)
# CeHo2OsN4

A relaxed structure of CeHo2OsN4 (PBE, Alexandria via LeMat-Bulk).

Values from the calculation:
- symmetry = No. 63
- ΔE_f (raw) (eV per atom) = -1.0235

The structure in POSCAR format:
```
CeHo2OsN4
1.0
1.6939 -5.8248 0.0000
1.6939 5.8248 0.0000
0.0000 0.0000 11.5362
Ce Ho Os N
2 4 2 8
direct
0.1152 0.8848 0.7500
0.8848 0.1152 0.2500
0.3695 0.6305 0.5440
0.3695 0.6305 0.9560
0.6305 0.3695 0.0440
0.6305 0.3695 0.4560
0.1431 0.8569 0.2500
0.8569 0.1431 0.7500
0.0000 0.0000 0.0000
0.0000 0.0000 0.5000
0.2710 0.7290 0.1301
0.2710 0.7290 0.3699
0.4535 0.5465 0.7500
0.5465 0.4535 0.2500
0.7290 0.2710 0.6301
0.7290 0.2710 0.8699
```

=====

The following total moment values (in Bohr magnetons per cell) correspond, in order, to the records above: 0.0, 0.0, 6.1, 0.2, 0.0, 0.0, 0.0, 0.0.
The following density values (in g cm⁻³) correspond, in order, to the records above: 13.30, 6.88, 3.96, 5.23, 14.13, 4.87, 8.14, 10.45.